Computed, not measured: crystalline Cs3Mn5O12 at its relaxed geometry at the PBE with a Hubbard U level of DFT.

abc: 13.743 13.743 13.743
angles: 90.00 90.00 90.00
Space group Ia-3d (No. 230)
Asymmetric unit:
Cs: 0.000 0.250 0.125 x24
Mn: 0.000 0.000 0.000 x16
Mn: 0.000 0.250 0.375 x24
O: 0.029 0.153 0.948 x96

Results
Spin magnetization   14.00 μB per formula unit
Density   4.43 Mg/m³
Volume   2595.39 Å³ per cell
Final energy   -122.3 eV/f.u.